(w)
The following is a DFT calculation (PBE) of an optimized crystal structure of Y2GeO.

Lattice parameters (Å, degrees): 4.4599 4.4599 20.9622 90.00 90.00 120.00
Space group R-3m (No. 166, hexagonal axes)
Unique sites:
1 Y 0.0000 0.0000 0.0973
2 Ge 0.0000 0.0000 0.5000
3 O 0.0000 0.0000 0.0000

***

(x)
The following is a DFT calculation (PBE) of an optimized crystal structure of Y2GeO.

Lattice parameters (Å, degrees): 6.806 6.806 6.806 90.00 90.00 90.00
Space group Fm-3m (No. 225)
Unique sites:
1 Y 0.250 0.250 0.250
2 Ge 0.000 0.000 0.000
3 O 0.000 0.000 0.500

***

(y)
The following is a DFT calculation (PBE) of an optimized crystal structure of Y2GeO.

Lattice parameters (Å, degrees): 6.733 6.733 7.599 90.00 90.00 90.00
Space group I-42d (No. 122)
Unique sites:
1 Y 0.175 0.750 0.125
2 Ge 0.000 0.000 0.500
3 O 0.000 0.000 0.000

***

Q: Which of them is the most stable? A: (y).

***

(w)
The following is a DFT calculation (PBE) of an optimized crystal structure of Y3GeO.

Lattice parameters (Å, degrees): 3.562 21.399 6.039 90.00 90.00 90.00
Space group Cmc2_1 (No. 36)
Unique sites:
1 Y 0.000 0.056 0.000
2 Y 0.000 0.204 0.861
3 Y 0.000 0.410 0.020
4 Ge 0.000 0.187 0.353
5 O 0.000 0.378 0.377

***

(x)
The following is a DFT calculation (PBE) of an optimized crystal structure of Y3GeO.

Lattice parameters (Å, degrees): 4.700 4.700 4.700 90.00 90.00 90.00
Space group Pm-3m (No. 221)
Unique sites:
1 Y 0.000 0.000 0.500
2 Ge 0.500 0.500 0.500
3 O 0.000 0.000 0.000

***

Q: Which of them is the most stable? A: (w).

***

(w)
The following is a DFT calculation (PBE) of an optimized crystal structure of Zr2GeO.

Lattice parameters (Å, degrees): 6.403 6.403 6.403 90.00 90.00 90.00
Space group Fm-3m (No. 225)
Unique sites:
1 Zr 0.250 0.250 0.250
2 Ge 0.000 0.000 0.000
3 O 0.000 0.000 0.500

***

(x)
The following is a DFT calculation (PBE) of an optimized crystal structure of Zr2GeO.

Lattice parameters (Å, degrees): 5.473 5.473 11.002 90.00 90.00 90.00
Space group I-42d (No. 122)
Unique sites:
1 Zr 0.168 0.250 0.125
2 Ge 0.000 0.000 0.500
3 O 0.000 0.000 0.000

***

Q: Which of them is the most stable? A: (x).

***

(w)
The following is a DFT calculation (PBE) of an optimized crystal structure of ZrGe3O.

Lattice parameters (Å, degrees): 4.366 4.366 4.366 90.00 90.00 90.00
Space group Pm-3m (No. 221)
Unique sites:
1 Zr 0.000 0.000 0.000
2 Ge 0.000 0.500 0.500
3 O 0.500 0.500 0.500

***

(x)
The following is a DFT calculation (PBE) of an optimized crystal structure of ZrGe3O.

Lattice parameters (Å, degrees): 5.206 5.206 5.206 90.00 90.00 90.00
Space group Pm-3m (No. 221)
Unique sites:
1 Zr 0.000 0.000 0.000
2 Ge 0.000 0.000 0.500
3 O 0.500 0.500 0.500

***

Q: Which of them is the most stable? A: (w).

***

(w)
The following is a DFT calculation (PBE) of an optimized crystal structure of Zr2Ge2O.

Lattice parameters (Å, degrees): 3.481 3.481 14.473 90.00 90.00 90.00
Space group I4/mmm (No. 139)
Unique sites:
1 Zr 0.000 0.000 0.100
2 Ge 0.000 0.500 0.250
3 O 0.000 0.000 0.500

***

(x)
The following is a DFT calculation (PBE) of an optimized crystal structure of Zr2Ge2O.

Lattice parameters (Å, degrees): 6.094 6.094 4.684 90.00 90.00 90.00
Space group P4/mbm (No. 127)
Unique sites:
1 Zr 0.178 0.322 0.000
2 Ge 0.152 0.652 0.500
3 O 0.000 0.000 0.000

***

Q: Which of them is the most stable? A: (x).

***

(w)
The following is a DFT calculation (PBE) of an optimized crystal structure of Ge2Os.

Lattice parameters (Å, degrees): 9.092 3.130 7.752 90.00 119.15 90.00
Space group C2/m (No. 12)
Unique sites:
1 Ge 0.101 0.000 0.389
2 Ge 0.144 0.500 0.032
3 Os 0.154 0.500 0.701

***

(x)
The following is a DFT calculation (PBE) of an optimized crystal structure of Ge2Os.

Lattice parameters (Å, degrees): 4.784 4.781 4.727 90.00 120.08 90.00
Space group C2/m (No. 12)
Unique sites:
1 Ge 0.161 0.000 0.323
2 Os 0.000 0.500 0.000

***

Q: Which of them is the most stable? A: (w).

***

(w)
The following is a DFT calculation (PBE) of an optimized crystal structure of GePOs2.

Lattice parameters (Å, degrees): 5.420 5.420 10.636 90.00 90.00 90.00
Space group I-42d (No. 122)
Unique sites:
1 Ge 0.000 0.000 0.000
2 P 0.000 0.000 0.500
3 Os 0.223 0.250 0.625

***

(x)
The following is a DFT calculation (PBE) of an optimized crystal structure of GePOs2.

Lattice parameters (Å, degrees): 6.026 6.026 6.026 90.00 90.00 90.00
Space group Fm-3m (No. 225)
Unique sites:
1 Ge 0.000 0.000 0.000
2 P 0.000 0.000 0.500
3 Os 0.250 0.250 0.250

***

Q: Which of them is the most stable? A: (x).

***

(w)
The following is a DFT calculation (PBE) of an optimized crystal structure of Ge3POs.

Lattice parameters (Å, degrees): 4.590 4.590 4.590 90.00 90.00 90.00
Space group Pm-3m (No. 221)
Unique sites:
1 Ge 0.000 0.000 0.500
2 P 0.000 0.000 0.000
3 Os 0.500 0.500 0.500

***

(x)
The following is a DFT calculation (PBE) of an optimized crystal structure of Ge3POs.

Lattice parameters (Å, degrees): 4.775 4.775 4.775 90.00 90.00 90.00
Space group Pm-3m (No. 221)
Unique sites:
1 Ge 0.000 0.000 0.500
2 P 0.500 0.500 0.500
3 Os 0.000 0.000 0.000

***

Q: Which of them is the most stable? A: (x).